1.
{"formula": "Ir2WBr", "functional": "PBE-GGA", "state": "relaxed", "sg": "No. 35", "energy_ev_per_atom": -7.267, "raw_formation_energy_mev_per_atom": 820, "cell": [[1.417, -2.452, 0.000], [1.417, 2.452, 0.000], [0.000, 0.000, 9.771]], "species": ["Ir", "Ir", "W", "Br"], "frac_coords": [[0.000, 0.000, 0.000], [0.500, 0.500, 0.236], [0.500, 0.500, 0.772], [0.000, 0.000, 0.527]]}

---

2.
{"formula": "CaTcTe3", "functional": "PBE-GGA", "state": "relaxed", "sg": "No. 221", "energy_ev_per_atom": -4.448, "raw_formation_energy_mev_per_atom": -90, "cell": [[5.386, 0.000, 0.000], [0.000, 5.386, 0.000], [0.000, 0.000, 5.386]], "species": ["Ca", "Tc", "Te", "Te", "Te"], "frac_coords": [[0.000, 0.000, 0.000], [0.500, 0.500, 0.500], [0.000, 0.500, 0.500], [0.500, 0.000, 0.500], [0.500, 0.500, 0.000]]}

---

3.
{"formula": "TaHgTe2", "functional": "PBE-GGA", "state": "relaxed", "sg": "No. 122", "energy_ev_per_atom": -4.385, "raw_formation_energy_mev_per_atom": 224, "cell": [[-3.883, 3.883, 5.678], [3.883, -3.883, 5.678], [3.883, 3.883, -5.678]], "species": ["Ta", "Ta", "Hg", "Hg", "Te", "Te", "Te", "Te"], "frac_coords": [[0.000, 0.000, 0.000], [0.750, 0.250, 0.500], [0.250, 0.750, 0.500], [0.500, 0.500, 0.000], [0.020, 0.625, 0.895], [0.375, 0.270, 0.395], [0.730, 0.125, 0.105], [0.875, 0.980, 0.605]]}

---

4.
{"formula": "NdMg9Hg2", "functional": "PBE-GGA", "state": "relaxed", "sg": "No. 191", "energy_ev_per_atom": -1.765, "formation_enthalpy_0k_ev_per_fu": -1.462, "cell": [[9.882, 0.000, 0.000], [-4.941, 8.558, 0.000], [0.000, 0.000, 3.347]], "species": ["Nd", "Mg", "Mg", "Mg", "Mg", "Mg", "Mg", "Mg", "Mg", "Mg", "Hg", "Hg"], "frac_coords": [[0.000, 0.000, 0.000], [0.000, 0.500, 0.000], [0.183, 0.365, 0.500], [0.183, 0.817, 0.500], [0.365, 0.183, 0.500], [0.500, 0.000, 0.000], [0.500, 0.500, 0.000], [0.635, 0.817, 0.500], [0.817, 0.183, 0.500], [0.817, 0.635, 0.500], [0.333, 0.667, 0.000], [0.667, 0.333, 0.000]]}

---

5.
{"formula": "In2SbCl", "functional": "PBE-GGA", "state": "relaxed", "sg": "No. 10", "energy_ev_per_atom": -3.096, "raw_formation_energy_mev_per_atom": -235, "cell": [[3.493, 0.000, 0.000], [0.000, 3.503, 0.000], [-0.260, 0.000, 9.006]], "species": ["In", "In", "Sb", "Cl"], "frac_coords": [[0.039, 0.000, 0.266], [0.961, 0.000, 0.734], [0.500, 0.500, 0.000], [0.500, 0.500, 0.500]]}

---

6.
{"formula": "FeSi2Ir", "functional": "PBE-GGA", "state": "relaxed", "sg": "No. 166", "energy_ev_per_atom": -7.366, "raw_formation_energy_mev_per_atom": -324, "cell": [[1.391, 0.803, 7.473], [-1.391, 0.803, 7.473], [0.000, -1.607, 7.473]], "species": ["Fe", "Si", "Si", "Ir"], "frac_coords": [[0.000, 0.000, 0.000], [0.255, 0.255, 0.255], [0.745, 0.745, 0.745], [0.500, 0.500, 0.500]]}

---

7.
{"formula": "SrAlAg2", "functional": "PBE-GGA", "state": "relaxed", "sg": "No. 44", "energy_ev_per_atom": -2.804, "formation_enthalpy_0k_ev_per_fu": -0.091, "cell": [[-1.982, 2.621, 4.628], [1.982, -2.621, 4.628], [1.982, 2.621, -4.628]], "species": ["Sr", "Al", "Ag", "Ag"], "frac_coords": [[0.000, 0.000, 0.000], [0.720, 0.220, 0.500], [0.285, 0.785, 0.500], [0.526, 0.526, 0.000]]}

---

8.
{"formula": "Er2Sc3Ge4", "functional": "PBE-GGA", "state": "relaxed", "sg": "No. 14", "energy_ev_per_atom": -6.079, "formation_enthalpy_0k_ev_per_fu": -8.123, "cell": [[7.505, 0.000, 0.000], [0.000, 7.451, 0.000], [-2.528, 0.000, 6.764]], "species": ["Er", "Er", "Er", "Er", "Sc", "Sc", "Sc", "Sc", "Sc", "Sc", "Ge", "Ge", "Ge", "Ge", "Ge", "Ge", "Ge", "Ge"], "frac_coords": [[0.193, 0.178, 0.063], [0.193, 0.322, 0.563], [0.807, 0.678, 0.437], [0.807, 0.822, 0.937], [0.247, 0.668, 0.241], [0.247, 0.832, 0.741], [0.500, 0.000, 0.500], [0.500, 0.500, 0.000], [0.753, 0.168, 0.259], [0.753, 0.332, 0.759], [0.084, 0.541, 0.841], [0.084, 0.959, 0.341], [0.491, 0.132, 0.865], [0.491, 0.368, 0.365], [0.509, 0.632, 0.635], [0.509, 0.868, 0.135], [0.916, 0.041, 0.659], [0.916, 0.459, 0.159]]}

---

9.
{"formula": "RbTl2OF", "functional": "PBE-GGA", "state": "relaxed", "sg": "No. 11", "energy_ev_per_atom": -3.804, "raw_formation_energy_mev_per_atom": -1299, "cell": [[8.001, 0.000, 0.000], [0.000, 4.169, 0.000], [-3.649, 0.000, 9.411]], "species": ["Rb", "Rb", "Tl", "Tl", "Tl", "Tl", "O", "O", "F", "F"], "frac_coords": [[0.158, 0.250, 0.178], [0.842, 0.750, 0.822], [0.194, 0.250, 0.552], [0.337, 0.750, 0.848], [0.663, 0.250, 0.152], [0.806, 0.750, 0.448], [0.073, 0.750, 0.649], [0.927, 0.250, 0.351], [0.183, 0.750, 0.016], [0.817, 0.250, 0.984]]}

---

10.
{"formula": "PmGe2HRu2", "functional": "PBE-GGA", "state": "relaxed", "sg": "No. 123", "energy_ev_per_atom": -6.518, "cell": [[4.153, 0.000, 0.000], [0.000, 4.153, 0.000], [0.000, 0.000, 5.324]], "species": ["Pm", "Ge", "Ge", "H", "Ru", "Ru"], "frac_coords": [[0.000, 0.000, 0.000], [0.500, 0.500, 0.235], [0.500, 0.500, 0.765], [0.000, 0.000, 0.500], [0.000, 0.500, 0.500], [0.500, 0.000, 0.500]]}

---

11.
{"formula": "LaCuIr2", "functional": "PBE-GGA", "state": "relaxed", "sg": "No. 99", "energy_ev_per_atom": -6.546, "formation_enthalpy_0k_ev_per_fu": 0.560, "cell": [[2.946, 0.000, 0.000], [0.000, 2.946, 0.000], [0.000, 0.000, 8.058]], "species": ["La", "Cu", "Ir", "Ir"], "frac_coords": [[0.000, 0.000, 0.000], [0.500, 0.500, 0.287], [0.000, 0.000, 0.487], [0.500, 0.500, 0.695]]}

---

12.
{"formula": "KTbPuBr6", "functional": "PBE-GGA", "state": "relaxed", "sg": "No. 163", "energy_ev_per_atom": -5.054, "raw_formation_energy_mev_per_atom": -1710, "cell": [[7.491, 0.000, 0.000], [-3.745, 6.487, 0.000], [0.000, 0.000, 14.612]], "species": ["K", "K", "Tb", "Tb", "Pu", "Pu", "Br", "Br", "Br", "Br", "Br", "Br", "Br", "Br", "Br", "Br", "Br", "Br"], "frac_coords": [[0.000, 0.000, 0.000], [0.000, 0.000, 0.500], [0.333, 0.667, 0.250], [0.667, 0.333, 0.750], [0.333, 0.667, 0.750], [0.667, 0.333, 0.250], [0.015, 0.370, 0.137], [0.015, 0.645, 0.363], [0.355, 0.370, 0.363], [0.355, 0.985, 0.137], [0.370, 0.015, 0.637], [0.370, 0.355, 0.863], [0.630, 0.645, 0.137], [0.630, 0.985, 0.363], [0.645, 0.015, 0.863], [0.645, 0.630, 0.637], [0.985, 0.355, 0.637], [0.985, 0.630, 0.863]]}